(1)
## HgAs2BrN (PBE-GGA)

Data for HgAs2BrN after structural relaxation.

## Properties
The energy above the most stable polymorph in this dataset is 0.8270 eV/atom. For the total DFT energy (no corrections), the calculation gives -2.163 eV per atom.

```
data_HgAs2BrN
_cell_length_a 5.2843
_cell_length_b 5.2843
_cell_length_c 5.9045
_cell_angle_alpha 90.00
_cell_angle_beta 90.00
_cell_angle_gamma 90.00
_symmetry_space_group_name_H-M 'P 4/m m m'
_symmetry_Int_Tables_number 123
_symmetry_space_group_name_Hall '-P 4 2'
loop_
_atom_site_label
_atom_site_type_symbol
_atom_site_fract_x
_atom_site_fract_y
_atom_site_fract_z
_atom_site_occupancy
Hg1 Hg 0.0000 0.0000 0.0000 1
As1 As 0.0000 0.5000 0.0000 1
Br1 Br 0.0000 0.0000 0.5000 1
N1 N 0.5000 0.5000 0.5000 1
```

(2)
## HgAsBr2N (PBE-GGA)

Data for HgAsBr2N after structural relaxation.

## Properties
The energy above the most stable polymorph in this dataset is 0.8906 eV/atom. For the total DFT energy (no corrections), the calculation gives -1.499 eV per atom.

```
data_HgAsBr2N
_cell_length_a 5.3483
_cell_length_b 5.3483
_cell_length_c 5.4161
_cell_angle_alpha 90.00
_cell_angle_beta 90.00
_cell_angle_gamma 90.00
_symmetry_space_group_name_H-M 'P 4/m m m'
_symmetry_Int_Tables_number 123
_symmetry_space_group_name_Hall '-P 4 2'
loop_
_atom_site_label
_atom_site_type_symbol
_atom_site_fract_x
_atom_site_fract_y
_atom_site_fract_z
_atom_site_occupancy
Hg1 Hg 0.0000 0.0000 0.0000 1
As1 As 0.0000 0.0000 0.5000 1
Br1 Br 0.0000 0.5000 0.0000 1
N1 N 0.5000 0.5000 0.5000 1
```

(3)
## NaHgAsBr2 (PBE-GGA)

Data for NaHgAsBr2 after structural relaxation.

## Properties
The energy above the most stable polymorph in this dataset is 0.0000 eV/atom. For the total DFT energy (no corrections), the calculation gives -2.076 eV per atom.

```
data_NaHgAsBr2
_cell_length_a 5.9230
_cell_length_b 5.9230
_cell_length_c 5.1862
_cell_angle_alpha 90.00
_cell_angle_beta 90.00
_cell_angle_gamma 90.00
_symmetry_space_group_name_H-M 'P 4/m m m'
_symmetry_Int_Tables_number 123
_symmetry_space_group_name_Hall '-P 4 2'
loop_
_atom_site_label
_atom_site_type_symbol
_atom_site_fract_x
_atom_site_fract_y
_atom_site_fract_z
_atom_site_occupancy
Na1 Na 0.0000 0.0000 0.0000 1
Hg1 Hg 0.5000 0.5000 0.5000 1
As1 As 0.5000 0.5000 0.0000 1
Br1 Br 0.0000 0.5000 0.5000 1
```

(4)
## NaHgAsBr2 (PBE-GGA)

Data for NaHgAsBr2 after structural relaxation.

## Properties
The energy above the most stable polymorph in this dataset is 0.2819 eV/atom. For the total DFT energy (no corrections), the calculation gives -1.794 eV per atom.

```
data_NaHgAsBr2
_cell_length_a 5.3555
_cell_length_b 5.3555
_cell_length_c 6.1540
_cell_angle_alpha 90.00
_cell_angle_beta 90.00
_cell_angle_gamma 90.00
_symmetry_space_group_name_H-M 'P 4/m m m'
_symmetry_Int_Tables_number 123
_symmetry_space_group_name_Hall '-P 4 2'
loop_
_atom_site_label
_atom_site_type_symbol
_atom_site_fract_x
_atom_site_fract_y
_atom_site_fract_z
_atom_site_occupancy
Na1 Na 0.0000 0.0000 0.0000 1
Hg1 Hg 0.5000 0.5000 0.5000 1
As1 As 0.0000 0.0000 0.5000 1
Br1 Br 0.0000 0.5000 0.0000 1
```

(5)
## NbHgAsBr2 (PBE-GGA)

Data for NbHgAsBr2 after structural relaxation.

## Properties
The energy above the most stable polymorph in this dataset is 1.1315 eV/atom. For the total DFT energy (no corrections), the calculation gives -2.648 eV per atom.

```
data_NbHgAsBr2
_cell_length_a 5.4214
_cell_length_b 5.4214
_cell_length_c 5.2523
_cell_angle_alpha 90.00
_cell_angle_beta 90.00
_cell_angle_gamma 90.00
_symmetry_space_group_name_H-M 'P 4/m m m'
_symmetry_Int_Tables_number 123
_symmetry_space_group_name_Hall '-P 4 2'
loop_
_atom_site_label
_atom_site_type_symbol
_atom_site_fract_x
_atom_site_fract_y
_atom_site_fract_z
_atom_site_occupancy
Nb1 Nb 0.0000 0.0000 0.0000 1
Hg1 Hg 0.5000 0.5000 0.5000 1
As1 As 0.5000 0.5000 0.0000 1
Br1 Br 0.0000 0.5000 0.5000 1
```

(6)
## NbHgAsBr2 (PBE-GGA)

Data for NbHgAsBr2 after structural relaxation.

## Properties
The energy above the most stable polymorph in this dataset is 0.0000 eV/atom. For the total DFT energy (no corrections), the calculation gives -3.779 eV per atom.

```
data_NbHgAsBr2
_cell_length_a 5.2469
_cell_length_b 5.2469
_cell_length_c 5.0939
_cell_angle_alpha 90.00
_cell_angle_beta 90.00
_cell_angle_gamma 90.00
_symmetry_space_group_name_H-M 'P 4/m m m'
_symmetry_Int_Tables_number 123
_symmetry_space_group_name_Hall '-P 4 2'
loop_
_atom_site_label
_atom_site_type_symbol
_atom_site_fract_x
_atom_site_fract_y
_atom_site_fract_z
_atom_site_occupancy
Nb1 Nb 0.0000 0.0000 0.0000 1
Hg1 Hg 0.5000 0.5000 0.5000 1
As1 As 0.0000 0.0000 0.5000 1
Br1 Br 0.0000 0.5000 0.0000 1
```

(7)
## NiHgAsBr2 (PBE-GGA)

Data for NiHgAsBr2 after structural relaxation.

## Properties
The energy above the most stable polymorph in this dataset is 0.8104 eV/atom. For the total DFT energy (no corrections), the calculation gives -1.836 eV per atom.

```
data_NiHgAsBr2
_cell_length_a 5.6073
_cell_length_b 5.6073
_cell_length_c 5.2492
_cell_angle_alpha 90.00
_cell_angle_beta 90.00
_cell_angle_gamma 90.00
_symmetry_space_group_name_H-M 'P 4/m m m'
_symmetry_Int_Tables_number 123
_symmetry_space_group_name_Hall '-P 4 2'
loop_
_atom_site_label
_atom_site_type_symbol
_atom_site_fract_x
_atom_site_fract_y
_atom_site_fract_z
_atom_site_occupancy
Ni1 Ni 0.0000 0.0000 0.0000 1
Hg1 Hg 0.5000 0.5000 0.5000 1
As1 As 0.5000 0.5000 0.0000 1
Br1 Br 0.0000 0.5000 0.5000 1
```

(8)
## NiHgAsBr2 (PBE-GGA)

Data for NiHgAsBr2 after structural relaxation.

## Properties
The energy above the most stable polymorph in this dataset is 0.0000 eV/atom. For the total DFT energy (no corrections), the calculation gives -2.646 eV per atom.

```
data_NiHgAsBr2
_cell_length_a 5.2151
_cell_length_b 5.2151
_cell_length_c 4.5151
_cell_angle_alpha 90.00
_cell_angle_beta 90.00
_cell_angle_gamma 90.00
_symmetry_space_group_name_H-M 'P 4/m m m'
_symmetry_Int_Tables_number 123
_symmetry_space_group_name_Hall '-P 4 2'
loop_
_atom_site_label
_atom_site_type_symbol
_atom_site_fract_x
_atom_site_fract_y
_atom_site_fract_z
_atom_site_occupancy
Ni1 Ni 0.0000 0.0000 0.0000 1
Hg1 Hg 0.5000 0.5000 0.5000 1
As1 As 0.0000 0.0000 0.5000 1
Br1 Br 0.0000 0.5000 0.0000 1
```

(9)
## Hg3AsBrO4 (PBE-GGA)

Data for Hg3AsBrO4 after structural relaxation.

## Properties
For the total DFT energy (no corrections), the calculation gives -3.682 eV per atom.

```
data_Hg3AsBrO4
_cell_length_a 8.7110
_cell_length_b 8.7110
_cell_length_c 8.7110
_cell_angle_alpha 90.00
_cell_angle_beta 90.00
_cell_angle_gamma 90.00
_symmetry_space_group_name_H-M 'P 21 3'
_symmetry_Int_Tables_number 198
_symmetry_space_group_name_Hall 'P 2ac 2ab 3'
loop_
_atom_site_label
_atom_site_type_symbol
_atom_site_fract_x
_atom_site_fract_y
_atom_site_fract_z
_atom_site_occupancy
Hg1 Hg 0.0551 0.3968 0.3564 1
As1 As 0.0193 0.5193 0.9807 1
Br1 Br 0.2326 0.7674 0.2674 1
O1 O 0.0960 0.8959 0.6275 1
O2 O 0.1328 0.6328 0.8672 1
```

(10)
## HgAs2BrO (PBE-GGA)

Data for HgAs2BrO after structural relaxation.

## Properties
The energy above the most stable polymorph in this dataset is 1.0754 eV/atom. For the total DFT energy (no corrections), the calculation gives -1.971 eV per atom.

```
data_HgAs2BrO
_cell_length_a 5.2417
_cell_length_b 5.2417
_cell_length_c 5.8234
_cell_angle_alpha 90.00
_cell_angle_beta 90.00
_cell_angle_gamma 90.00
_symmetry_space_group_name_H-M 'P 4/m m m'
_symmetry_Int_Tables_number 123
_symmetry_space_group_name_Hall '-P 4 2'
loop_
_atom_site_label
_atom_site_type_symbol
_atom_site_fract_x
_atom_site_fract_y
_atom_site_fract_z
_atom_site_occupancy
Hg1 Hg 0.0000 0.0000 0.0000 1
As1 As 0.0000 0.5000 0.0000 1
Br1 Br 0.0000 0.0000 0.5000 1
O1 O 0.5000 0.5000 0.5000 1
```

(11)
## HgAs2BrO (PBE-GGA)

Data for HgAs2BrO after structural relaxation.

## Properties
The energy above the most stable polymorph in this dataset is 0.0000 eV/atom. For the total DFT energy (no corrections), the calculation gives -3.046 eV per atom.

```
data_HgAs2BrO
_cell_length_a 4.1744
_cell_length_b 4.1744
_cell_length_c 6.9190
_cell_angle_alpha 90.00
_cell_angle_beta 90.00
_cell_angle_gamma 90.00
_symmetry_space_group_name_H-M 'P 4/m m m'
_symmetry_Int_Tables_number 123
_symmetry_space_group_name_Hall '-P 4 2'
loop_
_atom_site_label
_atom_site_type_symbol
_atom_site_fract_x
_atom_site_fract_y
_atom_site_fract_z
_atom_site_occupancy
Hg1 Hg 0.0000 0.0000 0.0000 1
As1 As 0.0000 0.5000 0.5000 1
Br1 Br 0.5000 0.5000 0.0000 1
O1 O 0.5000 0.5000 0.5000 1
```

(12)
## HgAsBrO2 (PBE-GGA)

Data for HgAsBrO2 after structural relaxation.

## Properties
For the total DFT energy (no corrections), the calculation gives -4.052 eV per atom.

```
data_HgAsBrO2
_cell_length_a 6.9224
_cell_length_b 3.9834
_cell_length_c 7.5210
_cell_angle_alpha 90.00
_cell_angle_beta 106.41
_cell_angle_gamma 90.00
_symmetry_space_group_name_H-M 'P 1 21/m 1'
_symmetry_Int_Tables_number 11
loop_
_symmetry_equiv_pos_as_xyz
'x,y,z'
'-x,-y,-z'
'-x,y+1/2,-z'
'x,-y+1/2,z'
loop_
_atom_site_label
_atom_site_type_symbol
_atom_site_fract_x
_atom_site_fract_y
_atom_site_fract_z
_atom_site_occupancy
Hg1 Hg 0.2142 0.2500 0.4463 1
As1 As 0.1206 0.2500 0.9088 1
Br1 Br 0.4391 0.7500 0.7021 1
O1 O 0.0447 0.7500 0.3284 1
O2 O 0.0497 0.7500 0.9361 1
```

(13)
## HgAsOsBr2 (PBE-GGA)

Data for HgAsOsBr2 after structural relaxation.

## Properties
The energy above the most stable polymorph in this dataset is 0.0000 eV/atom. For the total DFT energy (no corrections), the calculation gives -3.480 eV per atom.

```
data_HgAsOsBr2
_cell_length_a 5.2921
_cell_length_b 5.2921
_cell_length_c 4.7034
_cell_angle_alpha 90.00
_cell_angle_beta 90.00
_cell_angle_gamma 90.00
_symmetry_space_group_name_H-M 'P 4/m m m'
_symmetry_Int_Tables_number 123
_symmetry_space_group_name_Hall '-P 4 2'
loop_
_atom_site_label
_atom_site_type_symbol
_atom_site_fract_x
_atom_site_fract_y
_atom_site_fract_z
_atom_site_occupancy
Hg1 Hg 0.0000 0.0000 0.0000 1
As1 As 0.5000 0.5000 0.0000 1
Os1 Os 0.5000 0.5000 0.5000 1
Br1 Br 0.0000 0.5000 0.5000 1
```